# PBE-GGA SrLiPrSe3, relaxed
# - DFT total energy: -4.909 eV/atom
# - Raw formation energy: -1771 meV per atom
data_SrLiPrSe3
_chemical_formula_sum 'Sr2 Li2 Pr2 Se6'
_cell_length_a 4.254
_cell_length_b 8.880
_cell_length_c 9.124
_cell_angle_alpha 101.55
_cell_angle_beta 90.00
_cell_angle_gamma 90.00
_symmetry_space_group_name_H-M 'P 1'
_symmetry_Int_Tables_number 1
_symmetry_space_group_name_Hall 'P 1'
loop_
_atom_site_label
_atom_site_fract_x
_atom_site_fract_y
_atom_site_fract_z
Se1 0.750 0.427 0.168
Se2 0.250 0.573 0.832
Se3 0.250 0.794 0.498
Se4 0.250 0.108 0.867
Se5 0.750 0.206 0.502
Se6 0.750 0.892 0.133
Pr1 0.250 0.665 0.172
Pr2 0.750 0.335 0.828
Li1 0.250 0.084 0.585
Li2 0.750 0.916 0.415
Sr1 0.750 0.823 0.771
Sr2 0.250 0.177 0.229

=====

# PBE-GGA Sr3LiPr2Se6, relaxed
# - Density of states at the Fermi level: 3.8 states/eV/cell
# - DFT total energy: -4.988 eV/atom
# - Raw formation energy: -1869 meV per atom
data_Sr3LiPr2Se6
_chemical_formula_sum 'Sr3 Li1 Pr2 Se6'
_cell_length_a 7.485
_cell_length_b 7.485
_cell_length_c 7.524
_cell_angle_alpha 99.55
_cell_angle_beta 99.55
_cell_angle_gamma 119.98
_symmetry_space_group_name_H-M 'P 1'
_symmetry_Int_Tables_number 1
_symmetry_space_group_name_Hall 'P 1'
loop_
_atom_site_label
_atom_site_fract_x
_atom_site_fract_y
_atom_site_fract_z
Pr1 0.333 0.667 0.000
Pr2 0.667 0.333 0.000
Li1 0.000 0.000 0.000
Se1 0.079 0.410 0.237
Se2 0.921 0.590 0.763
Se3 0.252 0.252 0.763
Se4 0.590 0.921 0.763
Se5 0.748 0.748 0.237
Se6 0.410 0.079 0.237
Sr1 0.500 0.500 0.500
Sr2 0.834 0.166 0.500
Sr3 0.166 0.834 0.500

=====

# PBE-GGA Li3Pr3TaSe8, relaxed
# - Density of states at the Fermi level: 4.6 states/eV/cell
# - DFT total energy: -5.408 eV/atom
# - Raw formation energy: -1421 meV per atom
data_Li3Pr3TaSe8
_chemical_formula_sum 'Li3 Pr3 Ta1 Se8'
_cell_length_a 8.263
_cell_length_b 8.261
_cell_length_c 8.097
_cell_angle_alpha 120.71
_cell_angle_beta 90.00
_cell_angle_gamma 120.01
_symmetry_space_group_name_H-M 'P 1'
_symmetry_Int_Tables_number 1
_symmetry_space_group_name_Hall 'P 1'
loop_
_atom_site_label
_atom_site_fract_x
_atom_site_fract_y
_atom_site_fract_z
Se1 0.230 0.460 0.744
Se2 0.216 0.986 0.256
Se3 0.244 0.488 0.232
Se4 0.230 0.014 0.744
Se5 0.756 0.512 0.768
Se6 0.784 0.014 0.744
Se7 0.770 0.540 0.256
Se8 0.770 0.986 0.256
Pr1 0.000 0.500 0.500
Pr2 0.500 0.500 0.500
Pr3 0.500 0.000 0.500
Li1 0.000 0.000 0.000
Li2 0.000 0.500 0.000
Li3 0.500 0.500 0.000
Ta1 0.000 0.000 0.500

=====

# PBE-GGA LiTb3Pr3Se8, relaxed
# - Density of states at the Fermi level: 4.4 states/eV/cell
# - DFT total energy: -5.676 eV/atom
# - Raw formation energy: -1808 meV per atom
data_LiTb3Pr3Se8
_chemical_formula_sum 'Li1 Tb3 Pr3 Se8'
_cell_length_a 8.276
_cell_length_b 8.276
_cell_length_c 8.332
_cell_angle_alpha 119.78
_cell_angle_beta 90.00
_cell_angle_gamma 120.00
_symmetry_space_group_name_H-M 'P 1'
_symmetry_Int_Tables_number 1
_symmetry_space_group_name_Hall 'P 1'
loop_
_atom_site_label
_atom_site_fract_x
_atom_site_fract_y
_atom_site_fract_z
Pr1 0.000 0.000 0.000
Pr2 0.500 0.500 0.000
Pr3 0.000 0.500 0.000
Li1 0.000 0.000 0.500
Se1 0.245 0.490 0.736
Se2 0.755 0.009 0.264
Se3 0.755 0.510 0.264
Se4 0.254 0.509 0.263
Se5 0.254 0.009 0.264
Se6 0.245 0.991 0.736
Se7 0.746 0.491 0.737
Se8 0.746 0.991 0.736
Tb1 0.000 0.500 0.500
Tb2 0.500 0.500 0.500
Tb3 0.500 0.000 0.500

=====

# PBE-GGA LiTb2Pr3Se6, relaxed
# - Density of states at the Fermi level: 5.1 states/eV/cell
# - DFT total energy: -5.655 eV/atom
# - Raw formation energy: -1787 meV per atom
data_LiTb2Pr3Se6
_chemical_formula_sum 'Li1 Tb2 Pr3 Se6'
_cell_length_a 7.175
_cell_length_b 7.175
_cell_length_c 7.275
_cell_angle_alpha 99.50
_cell_angle_beta 99.50
_cell_angle_gamma 120.14
_symmetry_space_group_name_H-M 'P 1'
_symmetry_Int_Tables_number 1
_symmetry_space_group_name_Hall 'P 1'
loop_
_atom_site_label
_atom_site_fract_x
_atom_site_fract_y
_atom_site_fract_z
Li1 0.000 0.000 0.000
Se1 0.752 0.752 0.230
Se2 0.403 0.077 0.232
Se3 0.248 0.248 0.770
Se4 0.077 0.403 0.232
Se5 0.923 0.597 0.768
Se6 0.597 0.923 0.768
Pr1 0.833 0.167 0.500
Pr2 0.500 0.500 0.500
Pr3 0.167 0.833 0.500
Tb1 0.335 0.665 0.000
Tb2 0.665 0.335 0.000

=====

# PBE-GGA LiTb2PrSe4, relaxed
# - Density of states at the Fermi level: 2.6 states/eV/cell
# - DFT total energy: -5.491 eV/atom
# - Raw formation energy: -1754 meV per atom
data_LiTb2PrSe4
_chemical_formula_sum 'Li1 Tb2 Pr1 Se4'
_cell_length_a 4.110
_cell_length_b 7.152
_cell_length_c 7.167
_cell_angle_alpha 109.21
_cell_angle_beta 90.00
_cell_angle_gamma 90.00
_symmetry_space_group_name_H-M 'P 1'
_symmetry_Int_Tables_number 1
_symmetry_space_group_name_Hall 'P 1'
loop_
_atom_site_label
_atom_site_fract_x
_atom_site_fract_y
_atom_site_fract_z
Li1 0.500 0.500 0.000
Se1 0.000 0.258 0.749
Se2 0.500 0.737 0.745
Se3 0.500 0.263 0.255
Se4 0.000 0.742 0.251
Pr1 0.000 0.000 0.000
Tb1 0.500 0.000 0.500
Tb2 0.000 0.500 0.500